# GGA-PBE CsLa2CoAg, relaxed
data_CsLa2CoAg
_symmetry_space_group_name_H-M 'P 4/m m m'
_symmetry_Int_Tables_number 123
_symmetry_space_group_name_Hall '-P 4 2'
_cell_length_a 5.894
_cell_length_b 5.894
_cell_length_c 5.366
_cell_angle_alpha 90.00
_cell_angle_beta 90.00
_cell_angle_gamma 90.00
loop_
_atom_site_label
_atom_site_type_symbol
_atom_site_fract_x
_atom_site_fract_y
_atom_site_fract_z
_atom_site_occupancy
Cs1 Cs 0.000 0.000 0.000 1
La1 La 0.000 0.500 0.000 1
Co1 Co 0.500 0.500 0.500 1
Ag1 Ag 0.000 0.000 0.500 1
# - calculated formation energy (eV/atom) = 1.62
# - calculated density (g cm⁻³) = 5.14
# - D(E_F) (states/eV/f.u.) = 4.429